Record 1
A geometry-optimized Y2Mg structure, computed with PBE.

Output
The value obtained for the energy of formation is 0.4 eV per formula unit.

Lattice parameters (Å, degrees): 13.5128 13.5128 13.5128 164.20 164.20 22.41
Sites, in units of the cell vectors:
Mg 0.0000 0.0000 0.0000
Mg 0.7500 0.2500 0.5000
Y 0.3202 0.8202 0.5000
Y 0.1798 0.6798 0.5000
Y 0.5702 0.5702 0.0000
Y 0.4298 0.4298 0.0000

Record 2
A geometry-optimized AcLuSiPt structure, computed with PBE.

Output
The formation energy without anion corrections comes out at -0.69 eV per atom.

Lattice parameters (Å, degrees): 5.1675 5.1675 5.1675 60.00 60.00 60.00
Sites, in units of the cell vectors:
Si 0.5000 0.5000 0.5000
Lu 0.7500 0.7500 0.7500
Pt 0.0000 0.0000 0.0000
Ac 0.2500 0.2500 0.2500

Record 3
A geometry-optimized Na3In2Au4 structure, computed with PBE.

Output
The relative energy among the computed polymorphs comes out at 0.000 eV/atom. The value obtained for the energy of formation is -2.6 eV per formula unit.

Lattice parameters (Å, degrees): 4.6852 5.8371 8.8834 96.43 90.00 113.66
Sites, in units of the cell vectors:
Na 0.3890 0.7780 0.6168
Au 0.0912 0.1825 0.6222
Au 0.9088 0.8175 0.3778
Na 0.0000 0.0000 0.0000
Au 0.7334 0.4668 0.0866
In 0.7007 0.4014 0.7576
Na 0.6110 0.2220 0.3832
Au 0.2666 0.5332 0.9134
In 0.2993 0.5986 0.2424

Record 4
A geometry-optimized Sr3NbW structure, computed with PBE.

Output
The relative energy among the computed polymorphs comes out at 0.240 eV/atom. The value obtained for the energy of formation is 10.9 eV per formula unit.

Lattice parameters (Å, degrees): 5.6875 5.6875 5.6875 90.00 90.00 90.00
Each line ends with the local moment (μB).
Sites, in units of the cell vectors:
Sr 0.0000 0.0000 0.5000  0.00
Sr 0.5000 0.0000 0.0000  -0.01
Sr 0.0000 0.5000 0.0000  -0.01
Nb 0.0000 0.0000 0.0000  -0.26
W 0.5000 0.5000 0.5000  -0.38

Record 5
A geometry-optimized Pr2NdSm3As6 structure, computed with PBE.

Output
The value obtained for the energy of formation is -18.2 eV per formula unit.

Lattice parameters (Å, degrees): 4.2581 8.5096 9.5143 102.92 102.93 90.00
Sites, in units of the cell vectors:
As 0.6674 0.0799 0.3347
Sm 0.8332 0.1666 0.6665
Sm 0.5000 0.5000 0.0000
Pr 0.8336 0.6670 0.6671
As 0.3345 0.4136 0.6691
Nd 0.5000 0.0000 0.0000
Pr 0.1664 0.3330 0.3329
As 0.3326 0.9201 0.6653
As 0.9986 0.2515 0.9973
As 0.6655 0.5864 0.3309
Sm 0.1668 0.8334 0.3335
As 0.0014 0.7485 0.0027

Record 6
A geometry-optimized Mg3HgF structure, computed with PBE.

Output
The relative energy among the computed polymorphs comes out at 0.536 eV/atom. The formation energy without anion corrections comes out at -0.32 eV per atom.

Lattice parameters (Å, degrees): 5.2277 5.2277 5.2277 90.00 90.00 90.00
Sites, in units of the cell vectors:
Mg 0.0000 0.0000 0.5000
Mg 0.5000 0.0000 0.0000
F 0.5000 0.5000 0.5000
Mg 0.0000 0.5000 0.0000
Hg 0.0000 0.0000 0.0000

Record 7
A geometry-optimized Cd6In8Ga structure, computed with PBE.

Output
The value obtained for the energy of formation is 0.8 eV per formula unit.

Lattice parameters (Å, degrees): 8.1780 8.1780 8.1780 59.38 59.38 59.38
Sites, in units of the cell vectors:
In 0.5821 0.5821 0.5821
Cd 0.5357 0.2725 0.0690
Cd 0.9310 0.4643 0.7275
In 0.4179 0.4179 0.4179
In 0.8796 0.3411 0.1755
Ga 0.0000 0.0000 0.0000
Cd 0.4643 0.7275 0.9310
Cd 0.2725 0.0690 0.5357
In 0.1755 0.8796 0.3411
In 0.3411 0.1755 0.8796
Cd 0.0690 0.5357 0.2725
In 0.1204 0.6589 0.8245
In 0.8245 0.1204 0.6589
Cd 0.7275 0.9310 0.4643
In 0.6589 0.8245 0.1204

Record 8
A geometry-optimized KIr2W structure, computed with PBE.

Output
The relative energy among the computed polymorphs comes out at 0.416 eV/atom. The value obtained for the energy of formation is 2.8 eV per formula unit.

Lattice parameters (Å, degrees): 2.7483 2.7483 9.9116 90.00 90.00 90.00
Sites, in units of the cell vectors:
K 0.0000 0.0000 0.4762
W 0.5000 0.5000 0.8102
Ir 0.0000 0.0000 0.0095
Ir 0.5000 0.5000 0.2041

Record 9
A geometry-optimized Te2PdIF structure, computed with PBE.

Output
The relative energy among the computed polymorphs comes out at 0.137 eV/atom. The formation energy without anion corrections comes out at 0.26 eV per atom.

Lattice parameters (Å, degrees): 4.5605 4.5605 7.0398 90.00 90.00 90.00
Sites, in units of the cell vectors:
F 0.0000 0.0000 0.0000
Te 0.5000 0.0000 0.0000
I 0.0000 0.0000 0.5000
Pd 0.5000 0.5000 0.5000
Te 0.0000 0.5000 0.0000

Record 10
A geometry-optimized Na2GeI structure, computed with PBE.

Output
The relative energy among the computed polymorphs comes out at 0.095 eV/atom. The formation energy without anion corrections comes out at -0.08 eV per atom.

Lattice parameters (Å, degrees): 5.3965 5.3965 5.3965 60.00 60.00 60.00
Sites, in units of the cell vectors:
Na 0.7500 0.7500 0.7500
Na 0.2500 0.2500 0.2500
I 0.5000 0.5000 0.5000
Ge 0.0000 0.0000 0.0000

Record 11
A geometry-optimized Nd2PaAs structure, computed with PBE.

Output
The value obtained for the energy of formation is -0.1 eV per formula unit.

Lattice parameters (Å, degrees): 3.7107 3.7107 10.7224 80.04 80.04 60.00
Each line ends with the local moment (μB).
Sites, in units of the cell vectors:
Nd 0.8929 0.8929 0.3213  0.00
Nd 0.1071 0.1071 0.6787  0.00
Pa 0.0000 0.0000 0.0000  0.87
As 0.5000 0.5000 0.5000  0.00

Record 12
A geometry-optimized TiGaSbI2 structure, computed with PBE.

Output
The relative energy among the computed polymorphs comes out at 0.710 eV/atom. The formation energy without anion corrections comes out at 0.70 eV per atom.

Lattice parameters (Å, degrees): 5.4807 5.4807 5.4465 90.00 90.00 90.00
Each line ends with the local moment (μB).
Sites, in units of the cell vectors:
Ga 0.0000 0.0000 0.0000  0.00
I 0.5000 0.0000 0.0000  -0.01
I 0.0000 0.5000 0.0000  -0.01
Sb 0.0000 0.0000 0.5000  -0.07
Ti 0.5000 0.5000 0.5000  -0.02

What did we get for spin magnetization? Answer: 0.00 0.00 0.00 0.79 0.00 0.00 0.00 0.00 0.06 0.00 1.03 0.29 μB per cell, in the order shown.